# TmHfMg (PBE, optimized geometry)
# - ΔH_f (0 K): 0.03 eV per atom
# - SG: No. 107
# - Energy relative to the lowest polymorph listed for this composition: 0.05 eV per formula unit
# - DFT total energy: -15.9 eV per cell
data_TmHfMg
_chemical_formula_sum 'Tm1 Hf1 Mg1'
_symmetry_space_group_name_H-M 'P 1'
_symmetry_Int_Tables_number 1
_symmetry_space_group_name_Hall 'P 1'
_cell_length_a 3.309
_cell_length_b 3.309
_cell_length_c 7.190
_cell_angle_alpha 103.31
_cell_angle_beta 103.31
_cell_angle_gamma 90.00
loop_
_atom_site_label
_atom_site_fract_x
_atom_site_fract_y
_atom_site_fract_z
Mg1 0.659 0.659 0.318
Hf1 0.001 0.001 0.001
Tm1 0.340 0.340 0.680



# TmHfMg4 (PBE, optimized geometry)
# - ΔH_f (0 K): 0.12 eV per atom
# - SG: No. 216
# - DFT total energy: -20.1 eV per cell
data_TmHfMg4
_chemical_formula_sum 'Tm1 Hf1 Mg4'
_symmetry_space_group_name_H-M 'P 1'
_symmetry_Int_Tables_number 1
_symmetry_space_group_name_Hall 'P 1'
_cell_length_a 5.831
_cell_length_b 5.831
_cell_length_c 5.831
_cell_angle_alpha 60.00
_cell_angle_beta 60.00
_cell_angle_gamma 60.00
loop_
_atom_site_label
_atom_site_fract_x
_atom_site_fract_y
_atom_site_fract_z
Tm1 0.250 0.250 0.250
Mg1 0.123 0.626 0.626
Mg2 0.626 0.123 0.626
Mg3 0.626 0.626 0.626
Mg4 0.626 0.626 0.123
Hf1 0.000 0.000 0.000



# TmHfMg (PBE, optimized geometry)
# - ΔH_f (0 K): 0.08 eV per atom
# - SG: No. 156
# - Energy relative to the lowest polymorph listed for this composition: 0.20 eV per formula unit
# - DFT total energy: -15.8 eV per cell
data_TmHfMg
_chemical_formula_sum 'Tm1 Hf1 Mg1'
_symmetry_space_group_name_H-M 'P 1'
_symmetry_Int_Tables_number 1
_symmetry_space_group_name_Hall 'P 1'
_cell_length_a 3.269
_cell_length_b 3.269
_cell_length_c 8.122
_cell_angle_alpha 90.00
_cell_angle_beta 90.00
_cell_angle_gamma 120.00
loop_
_atom_site_label
_atom_site_fract_x
_atom_site_fract_y
_atom_site_fract_z
Tm1 0.333 0.667 0.653
Mg1 0.000 0.000 0.011
Hf1 0.667 0.333 0.336



# TmHfMg (PBE, optimized geometry)
# - ΔH_f (0 K): 0.01 eV per atom
# - SG: No. 129
# - Energy relative to the lowest polymorph listed for this composition: 0.00 eV per formula unit
# - DFT total energy: -32.0 eV per cell
data_TmHfMg
_chemical_formula_sum 'Tm2 Hf2 Mg2'
_symmetry_space_group_name_H-M 'P 1'
_symmetry_Int_Tables_number 1
_symmetry_space_group_name_Hall 'P 1'
_cell_length_a 3.295
_cell_length_b 3.295
_cell_length_c 13.666
_cell_angle_alpha 90.00
_cell_angle_beta 90.00
_cell_angle_gamma 90.00
loop_
_atom_site_label
_atom_site_fract_x
_atom_site_fract_y
_atom_site_fract_z
Mg1 0.000 0.500 0.575
Mg2 0.500 0.000 0.425
Tm1 0.500 0.000 0.754
Tm2 0.000 0.500 0.246
Hf1 0.000 0.500 0.923
Hf2 0.500 0.000 0.077



# TmHfMg (PBE, optimized geometry)
# - ΔH_f (0 K): 0.01 eV per atom
# - SG: No. 31
# - Energy relative to the lowest polymorph listed for this composition: 0.00 eV per formula unit
# - DFT total energy: -32.0 eV per cell
data_TmHfMg
_chemical_formula_sum 'Tm2 Hf2 Mg2'
_symmetry_space_group_name_H-M 'P 1'
_symmetry_Int_Tables_number 1
_symmetry_space_group_name_Hall 'P 1'
_cell_length_a 4.449
_cell_length_b 3.358
_cell_length_c 10.628
_cell_angle_alpha 108.41
_cell_angle_beta 90.00
_cell_angle_gamma 89.99
loop_
_atom_site_label
_atom_site_fract_x
_atom_site_fract_y
_atom_site_fract_z
Mg1 0.847 0.166 0.334
Mg2 0.347 0.822 0.489
Tm1 0.847 0.502 0.668
Tm2 0.347 0.489 0.156
Hf1 0.847 0.814 0.980
Hf2 0.347 0.177 0.843



# TmHfMg (PBE, optimized geometry)
# - ΔH_f (0 K): 0.16 eV per atom
# - SG: No. 139
# - Energy relative to the lowest polymorph listed for this composition: 0.45 eV per formula unit
# - DFT total energy: -31.1 eV per cell
data_TmHfMg
_chemical_formula_sum 'Tm2 Hf2 Mg2'
_symmetry_space_group_name_H-M 'P 1'
_symmetry_Int_Tables_number 1
_symmetry_space_group_name_Hall 'P 1'
_cell_length_a 3.236
_cell_length_b 3.236
_cell_length_c 14.887
_cell_angle_alpha 96.24
_cell_angle_beta 96.24
_cell_angle_gamma 90.00
loop_
_atom_site_label
_atom_site_fract_x
_atom_site_fract_y
_atom_site_fract_z
Mg1 0.287 0.287 0.574
Mg2 0.713 0.713 0.426
Hf1 0.448 0.448 0.896
Hf2 0.552 0.552 0.104
Tm1 0.872 0.872 0.744
Tm2 0.128 0.128 0.256